NdAsBrO4 after structural relaxation, computed with PBE.

a b c (Å): 6.768 6.768 6.986
angles (deg): 79.96 79.96 57.88
Element x y z (fractional)
Nd 0.296 0.296 0.823
Nd 0.704 0.704 0.177
As 0.636 0.636 0.741
As 0.364 0.364 0.259
Br 0.018 0.018 0.332
Br 0.982 0.982 0.668
O 0.295 0.295 0.495
O 0.705 0.705 0.505
O 0.119 0.521 0.127
O 0.509 0.509 0.236
O 0.479 0.881 0.873
O 0.521 0.119 0.127
O 0.491 0.491 0.764
O 0.881 0.479 0.873

- ΔE_f (raw): -1.877 eV per atom
- Space group: C2/m (12)

=====

Al3PtO after structural relaxation, computed with PBE.

a b c (Å): 4.701 4.701 4.701
angles (deg): 90.00 90.00 90.00
Each line ends with the local moment (μB).
Element x y z (fractional)
O 0.500 0.500 0.500  -0.59
Al 0.000 0.500 0.000  -0.02
Al 0.000 0.000 0.500  -0.04
Al 0.500 0.000 0.000  -0.01
Pt 0.000 0.000 0.000  -0.05

- ΔE to the lowest computed polymorph: 3.52 eV/f.u.
- ΔE_f (raw): -0.131 eV per atom
- Space group: Pm-3m (221)

=====

Ba2LiNbO6 after structural relaxation, computed with PBE.

a b c (Å): 5.133 5.798 5.798
angles (deg): 120.00 90.00 90.00
Each line ends with the local moment (μB).
Element x y z (fractional)
Ba 0.206 0.333 0.667  -0.01
Ba 0.794 0.667 0.333  -0.01
Li 0.000 0.000 0.000  -0.01
Nb 0.500 0.000 0.000  -0.12
O 0.739 0.159 0.318  0.30
O 0.739 0.159 0.841  0.30
O 0.739 0.682 0.841  0.30
O 0.261 0.841 0.159  0.30
O 0.261 0.318 0.159  0.30
O 0.261 0.841 0.682  0.30

- ΔE_f (raw): -2.186 eV per atom
- Space group: P-3m1 (164)

=====

Na3RuBr after structural relaxation, computed with PBE.

a b c (Å): 5.459 5.459 5.459
angles (deg): 90.00 90.00 90.00
Each line ends with the local moment (μB).
Element x y z (fractional)
Ru 0.500 0.500 0.500  2.19
Br 0.000 0.000 0.000  -0.01
Na 0.000 0.500 0.000  -0.01
Na 0.000 0.000 0.500  -0.02
Na 0.500 0.000 0.000  -0.01

- ΔE to the lowest computed polymorph: 0.00 eV/f.u.
- ΔE_f (raw): 0.430 eV per atom
- Space group: Pm-3m (221)

=====

Ta5Nb4Pd2 after structural relaxation, computed with PBE.

a b c (Å): 3.313 7.193 9.625
angles (deg): 119.66 99.91 90.00
Element x y z (fractional)
Ta 0.136 0.101 0.272
Ta 0.864 0.899 0.728
Ta 0.227 0.820 0.454
Ta 0.500 0.000 0.000
Ta 0.773 0.180 0.546
Nb 0.682 0.461 0.363
Nb 0.043 0.367 0.086
Nb 0.318 0.539 0.637
Nb 0.957 0.633 0.914
Pd 0.600 0.754 0.199
Pd 0.400 0.246 0.801

- Formation energy from the elements: -120 kJ/mol of formula units
- Space group: C2/m (12)

=====

Sm3Ru2 after structural relaxation, computed with PBE.

a b c (Å): 4.880 7.733 10.371
angles (deg): 90.14 90.00 108.39
Element x y z (fractional)
Sm 0.833 0.666 0.018
Sm 0.167 0.334 0.982
Sm 0.843 0.685 0.351
Sm 0.157 0.315 0.649
Sm 0.176 0.351 0.316
Sm 0.824 0.649 0.684
Sm 0.505 0.011 0.334
Sm 0.495 0.989 0.666
Sm 0.500 0.000 0.000
Ru 0.669 0.339 0.493
Ru 0.331 0.661 0.507
Ru 0.668 0.335 0.162
Ru 0.332 0.665 0.838
Ru 0.004 0.008 0.166
Ru 0.996 0.992 0.834

- Formation energy from the elements: -72 kJ/mol of formula units
- Space group: C2/m (12)

=====

Tb3Dy6Tm2Sc after structural relaxation, computed with PBE.

a b c (Å): 6.089 6.089 11.631
angles (deg): 95.00 95.00 119.95
Element x y z (fractional)
Tb 0.167 0.833 0.500
Tb 0.833 0.167 0.500
Tb 0.500 0.500 0.500
Dy 0.918 0.587 0.754
Dy 0.750 0.750 0.246
Dy 0.082 0.413 0.246
Dy 0.587 0.918 0.754
Dy 0.250 0.250 0.754
Dy 0.413 0.082 0.246
Tm 0.333 0.667 0.000
Tm 0.667 0.333 0.000
Sc 0.000 0.000 0.000

- Formation energy from the elements: 32 kJ/mol of formula units
- Space group: C2/m (12)

=====

HfBe5 after structural relaxation, computed with PBE.

a b c (Å): 3.737 3.684 5.102
angles (deg): 111.16 90.00 90.00
Element x y z (fractional)
Hf 0.000 0.000 0.000
Be 0.500 0.819 0.638
Be 0.000 0.695 0.391
Be 0.500 0.500 0.000
Be 0.000 0.305 0.609
Be 0.500 0.181 0.362

- ΔE to the lowest computed polymorph: 2.10 eV/f.u.
- Formation energy from the elements: 62 kJ/mol of formula units
- Space group: Cmmm (65)

=====

Question: Number 1 is which compound?
Answer: NdAsBrO4